This record from the Alexandria database describes LaTmZn after structural relaxation. The functional is PBE-GGA.

Cell and atoms, written as POSCAR:
```
LaTmZn
1.0
5.064 0.000 0.000
-2.532 4.386 0.000
0.000 0.000 3.782
La Tm Zn
1 1 1
Cartesian
0.000 0.000 0.000
0.000 2.924 1.892
2.532 1.462 1.886
```

Properties
The calculated formation energy comes out at -66 meV per atom. For the final energy, the calculation gives -10.87 eV/cell. The total magnetization comes out at 0.00 μB/f.u. As for the symmetry: P3m1, No. 156.